(1)
A geometry-optimized Sn3P structure. Source: Alexandria, functional GGA-PBE.

Summary:
* density of states at the Fermi level: 2.1 states/eV/cell
* ΔE to the lowest computed polymorph: 0.0 kJ per mole of atoms
* calculated density: 6003 kg/m³
* SG: Pmm2 (25)
* volume: 107 Å³/cell
* calculated total energy: -4.265 eV per atom
* magnetization: 0.00 Bohr magnetons per cell
* energy of formation from the pure elements: 0.09 eV/atom

Lattice parameters (Å, degrees): 3.9304 4.7421 5.7455 90.00 90.00 90.00
Element x y z (fractional)
P 0.0000 0.8551 0.0000
Sn 0.5000 0.2178 0.0000
Sn 0.5000 0.3894 0.5000
Sn 0.0000 0.8711 0.5000


(2)
A geometry-optimized Sn3P structure. Source: Alexandria, functional GGA-PBE.

Summary:
* density of states at the Fermi level: 1.6 states/eV/cell
* ΔE to the lowest computed polymorph: 2.9 kJ per mole of atoms
* calculated density: 6348 kg/m³
* SG: Imm2 (44)
* volume: 101 Å³/cell
* calculated total energy: -4.236 eV per atom
* magnetization: 0.00 Bohr magnetons per cell
* energy of formation from the pure elements: 0.12 eV/atom

Lattice parameters (Å, degrees): 3.6849 5.3423 6.0818 116.05 107.63 90.00
Element x y z (fractional)
P 0.0000 0.0122 0.0000
Sn 0.2991 0.6760 0.5981
Sn 0.5000 0.4006 0.0000
Sn 0.7009 0.0779 0.4019


(3)
A geometry-optimized SnP2 structure. Source: Alexandria, functional GGA-PBE.

Summary:
* density of states at the Fermi level: 0.7 states/eV/cell
* ΔE to the lowest computed polymorph: 0.0 kJ per mole of atoms
* calculated density: 4150 kg/m³
* SG: P2/m (10)
* volume: 72 Å³/cell
* calculated total energy: -4.903 eV per atom
* magnetization: 0.00 Bohr magnetons per cell
* energy of formation from the pure elements: 0.04 eV/atom

Lattice parameters (Å, degrees): 3.2167 4.5352 5.2068 90.03 72.10 89.93
Element x y z (fractional)
Sn 0.0000 0.0000 0.0000
P 0.1772 0.4998 0.6469
P 0.8228 0.5002 0.3531


(4)
A geometry-optimized Sn3P2 structure. Source: Alexandria, functional GGA-PBE.

Summary:
* density of states at the Fermi level: 4.8 states/eV/cell
* calculated density: 5278 kg/m³
* SG: R-3c (167)
* volume: 263 Å³/cell
* calculated total energy: -4.353 eV per atom
* magnetization: 0.00 Bohr magnetons per cell
* energy of formation from the pure elements: 0.21 eV/atom

Lattice parameters (Å, degrees): 7.3349 7.3349 7.0581 58.69 58.69 60.00
Element x y z (fractional)
P 0.8660 0.8660 0.4019
P 0.3660 0.3660 0.9019
P 0.1340 0.1340 0.5981
P 0.6340 0.6340 0.0981
Sn 0.0314 0.7500 0.7500
Sn 0.7500 0.4686 0.7500
Sn 0.4686 0.0314 0.7500
Sn 0.2500 0.5314 0.2500
Sn 0.5314 0.9686 0.2500
Sn 0.9686 0.2500 0.2500


(5)
A geometry-optimized Sn3P structure. Source: Alexandria, functional GGA-PBE.

Summary:
* density of states at the Fermi level: 1.3 states/eV/cell
* ΔE to the lowest computed polymorph: 16.8 kJ per mole of atoms
* calculated density: 6685 kg/m³
* SG: Fm-3m (225)
* volume: 96 Å³/cell
* calculated total energy: -4.091 eV per atom
* magnetization: 0.00 Bohr magnetons per cell
* energy of formation from the pure elements: 0.26 eV/atom

Lattice parameters (Å, degrees): 5.1423 5.1423 5.1423 60.00 60.00 60.00
Element x y z (fractional)
Sn 0.2500 0.2500 0.2500
Sn 0.7500 0.7500 0.7500
Sn 0.5000 0.5000 0.5000
P 0.0000 0.0000 0.0000


(6)
A geometry-optimized Sn3P structure. Source: Alexandria, functional GGA-PBE.

Summary:
* density of states at the Fermi level: 2.9 states/eV/cell
* ΔE to the lowest computed polymorph: 19.2 kJ per mole of atoms
* calculated density: 6481 kg/m³
* SG: Pm-3m (221)
* volume: 99 Å³/cell
* calculated total energy: -4.067 eV per atom
* magnetization: 0.00 Bohr magnetons per cell
* energy of formation from the pure elements: 0.29 eV/atom

Lattice parameters (Å, degrees): 4.6288 4.6288 4.6288 90.00 90.00 90.00
Element x y z (fractional)
Sn 0.5000 0.0000 0.5000
Sn 0.0000 0.5000 0.5000
Sn 0.5000 0.5000 0.0000
P 0.0000 0.0000 0.0000


Question: What is the formula in the sixth record?
Answer: Sn3P


Question: Number 3 is which compound?
Answer: SnP2


Question: The lowest volume belongs to which entry?
Answer: SnP2